# 1
The following is a DFT calculation (GGA-PBE) of an optimized crystal structure of Dy2TiGa3Ni4.

Values from the calculation:
M_tot: 0.00 μB per cell
SG: P-4m2
VASP energy: -54.7 eV/cell

Structure (POSCAR):
```
Dy2TiGa3Ni4
1.0
3.9713 0.0000 0.0000
0.0000 3.9713 0.0000
0.0000 0.0000 10.4636
Dy Ti Ga Ni
2 1 3 4
Direct
0.0000 0.5000 0.2427
0.5000 0.0000 0.7573
0.0000 0.0000 0.5000
0.0000 0.5000 0.8722
0.5000 0.0000 0.1278
0.5000 0.5000 0.5000
0.0000 0.0000 0.0000
0.0000 0.5000 0.6434
0.5000 0.0000 0.3566
0.5000 0.5000 0.0000
```



# 2
The following is a DFT calculation (GGA-PBE) of an optimized crystal structure of K2TeSe.

Values from the calculation:
M_tot: 0.00 μB per cell
ΔE_f (raw): -0.443 eV per atom
energy above the lowest structure with this stoichiometry: 37.9 kJ/mol of atoms
SG: F-43m

Structure (POSCAR):
```
K2TeSe
1.0
0.0000 4.0417 4.0417
4.0417 0.0000 4.0417
4.0417 4.0417 0.0000
K Te Se
2 1 1
Direct
0.0000 0.0000 0.0000
0.2500 0.2500 0.2500
0.7500 0.7500 0.7500
0.5000 0.5000 0.5000
```